[1]
## TbInTe2 (PBE-GGA)

Data for an optimized crystal structure of TbInTe2.

## Properties
The density of states at the Fermi level comes out at 0.0234 states/eV/atom. The space-group type is R3m (160).

a b c (Å): 4.403 4.403 8.681
angles (deg): 75.31 75.31 60.00
Sites, in units of the cell vectors:
Te (0.261, 0.261, 0.216)
Te (0.072, 0.072, 0.783)
In (0.499, 0.499, 0.503)
Tb (0.667, 0.667, 0.999)



[2]
## Tb3InTe2 (PBE-GGA)

Data for an optimized crystal structure of Tb3InTe2.

## Properties
The density of states at the Fermi level comes out at 0.1681 states/eV/atom. The space-group type is Immm (71).

a b c (Å): 4.246 6.210 7.767
angles (deg): 113.56 105.86 90.00
Sites, in units of the cell vectors:
Tb (0.835, 0.335, 0.169)
Tb (0.165, 0.665, 0.831)
Tb (0.500, 0.000, 0.500)
Te (0.832, 0.832, 0.164)
Te (0.168, 0.168, 0.836)
In (0.500, 0.500, 0.500)



[3]
## TbInTe3 (PBE-GGA)

Data for an optimized crystal structure of TbInTe3.

## Properties
The space-group type is P2_1/c (14). As for the offset from the most stable computed form: 0.52 eV/f.u.

a b c (Å): 7.678 7.922 11.226
angles (deg): 90.00 99.16 90.00
Sites, in units of the cell vectors:
In (0.138, 0.142, 0.383)
In (0.362, 0.642, 0.117)
In (0.638, 0.358, 0.883)
In (0.862, 0.858, 0.617)
Tb (0.553, 0.131, 0.211)
Tb (0.053, 0.369, 0.711)
Tb (0.947, 0.631, 0.289)
Tb (0.447, 0.869, 0.789)
Te (0.835, 0.309, 0.434)
Te (0.841, 0.334, 0.112)
Te (0.341, 0.166, 0.612)
Te (0.149, 0.936, 0.181)
Te (0.851, 0.064, 0.819)
Te (0.335, 0.191, 0.934)
Te (0.351, 0.436, 0.319)
Te (0.159, 0.666, 0.888)
Te (0.665, 0.809, 0.066)
Te (0.165, 0.691, 0.566)
Te (0.649, 0.564, 0.681)
Te (0.659, 0.834, 0.388)



[4]
## Tb4In3Te8 (PBE-GGA)

Data for an optimized crystal structure of Tb4In3Te8.

## Properties
The density of states at the Fermi level comes out at 0.4068 states/eV/atom. The space-group type is C2/m (12).

a b c (Å): 8.820 8.945 8.945
angles (deg): 89.54 119.41 119.41
Sites, in units of the cell vectors:
In (0.500, 0.000, 0.500)
In (0.500, 0.500, 0.500)
In (0.500, 0.500, 0.000)
Tb (0.000, 0.000, 0.500)
Tb (0.500, 0.000, 0.000)
Tb (0.000, 0.000, 0.000)
Tb (0.000, 0.500, 0.000)
Te (0.500, 0.244, 0.756)
Te (0.500, 0.756, 0.244)
Te (0.010, 0.757, 0.757)
Te (0.485, 0.234, 0.234)
Te (0.000, 0.751, 0.249)
Te (0.990, 0.243, 0.243)
Te (0.000, 0.249, 0.751)
Te (0.515, 0.766, 0.766)



[5]
## TbInTe (PBE-GGA)

Data for an optimized crystal structure of TbInTe.

## Properties
The density of states at the Fermi level comes out at 0.3881 states/eV/atom. The space-group type is C2/m (12).

a b c (Å): 4.319 4.319 10.192
angles (deg): 101.98 101.98 89.87
Sites, in units of the cell vectors:
Tb (0.841, 0.841, 0.186)
Tb (0.159, 0.159, 0.814)
Te (0.681, 0.681, 0.860)
Te (0.319, 0.319, 0.140)
In (0.755, 0.755, 0.507)
In (0.245, 0.245, 0.493)



[6]
## Tb5In2Te2 (PBE-GGA)

Data for an optimized crystal structure of Tb5In2Te2.

## Properties
The density of states at the Fermi level comes out at 1.2035 states/eV/atom. The space-group type is Cmce (64).

a b c (Å): 8.129 8.110 8.825
angles (deg): 117.35 90.00 90.00
Sites, in units of the cell vectors:
In (0.872, 0.370, 0.000)
In (0.128, 0.630, 0.000)
In (0.372, 0.130, 0.000)
In (0.628, 0.870, 0.000)
Te (0.000, 0.202, 0.403)
Te (0.000, 0.798, 0.597)
Te (0.500, 0.702, 0.403)
Te (0.500, 0.298, 0.597)
Tb (0.334, 0.694, 0.726)
Tb (0.166, 0.194, 0.726)
Tb (0.834, 0.806, 0.274)
Tb (0.666, 0.306, 0.274)
Tb (0.334, 0.968, 0.274)
Tb (0.834, 0.532, 0.726)
Tb (0.166, 0.468, 0.274)
Tb (0.666, 0.032, 0.726)
Tb (0.000, 0.000, 0.000)
Tb (0.500, 0.500, 0.000)



[7]
## TbIn3Te4 (PBE-GGA)

Data for an optimized crystal structure of TbIn3Te4.

## Properties
The density of states at the Fermi level comes out at 0.2049 states/eV/atom. The space-group type is R-3m (166).

a b c (Å): 4.410 4.410 15.887
angles (deg): 82.02 82.02 60.00
Sites, in units of the cell vectors:
Tb (0.000, 0.000, 0.000)
In (0.500, 0.500, 0.500)
In (0.753, 0.753, 0.742)
In (0.247, 0.247, 0.258)
Te (0.870, 0.870, 0.390)
Te (0.629, 0.629, 0.114)
Te (0.371, 0.371, 0.886)
Te (0.130, 0.130, 0.610)



[8]
## TbInTe3 (PBE-GGA)

Data for an optimized crystal structure of TbInTe3.

## Properties
The space-group type is Ama2 (40). As for the offset from the most stable computed form: 0.00 eV/f.u.

a b c (Å): 4.456 7.340 13.103
angles (deg): 106.27 90.00 90.00
Sites, in units of the cell vectors:
Te (0.250, 0.417, 0.851)
Te (0.750, 0.241, 0.543)
Te (0.250, 0.698, 0.457)
Te (0.750, 0.566, 0.149)
Te (0.250, 0.145, 0.227)
Te (0.750, 0.918, 0.773)
Tb (0.250, 0.059, 0.654)
Tb (0.750, 0.405, 0.346)
In (0.750, 0.527, 0.745)
In (0.250, 0.782, 0.255)



[9]
## Tb3InTe6 (PBE-GGA)

Data for an optimized crystal structure of Tb3InTe6.

## Properties
The space-group type is Cmc2_1 (36).

a b c (Å): 7.394 9.682 9.682
angles (deg): 102.22 90.00 90.00
Sites, in units of the cell vectors:
Te (0.723, 0.551, 0.097)
Te (0.179, 0.702, 0.626)
Te (0.223, 0.097, 0.551)
Te (0.680, 0.967, 0.033)
Te (0.635, 0.223, 0.777)
Te (0.679, 0.298, 0.374)
Te (0.135, 0.777, 0.223)
Te (0.179, 0.374, 0.298)
Te (0.679, 0.626, 0.702)
Te (0.180, 0.033, 0.967)
Te (0.223, 0.449, 0.903)
Te (0.723, 0.903, 0.449)
Tb (0.987, 0.721, 0.913)
Tb (0.987, 0.087, 0.279)
Tb (0.379, 0.408, 0.592)
Tb (0.487, 0.913, 0.721)
Tb (0.879, 0.592, 0.408)
Tb (0.487, 0.279, 0.087)
In (0.013, 0.206, 0.794)
In (0.513, 0.794, 0.206)



[10]
## Tb4InTe2 (PBE-GGA)

Data for an optimized crystal structure of Tb4InTe2.

## Properties
The density of states at the Fermi level comes out at 0.9610 states/eV/atom. The space-group type is I4_1/amd (141).

a b c (Å): 8.299 8.299 8.296
angles (deg): 108.83 108.84 110.77
Sites, in units of the cell vectors:
Tb (0.943, 0.254, 0.311)
Tb (0.504, 0.693, 0.811)
Tb (0.746, 0.057, 0.690)
Tb (0.307, 0.496, 0.189)
Tb (0.307, 0.117, 0.811)
Tb (0.367, 0.057, 0.310)
Tb (0.883, 0.693, 0.189)
Tb (0.943, 0.633, 0.689)
Te (0.625, 0.375, 0.750)
Te (0.625, 0.375, 0.250)
Te (0.125, 0.375, 0.750)
Te (0.625, 0.875, 0.250)
In (0.250, 0.750, 0.500)
In (0.000, 0.000, 0.000)



[11]
## TbInTe2 (PBE-GGA)

Data for an optimized crystal structure of TbInTe2.

## Properties
The density of states at the Fermi level comes out at 0.3833 states/eV/atom. The space-group type is P4/mmm (123).

a b c (Å): 3.881 3.881 7.968
angles (deg): 90.00 90.00 90.00
Sites, in units of the cell vectors:
Te (0.000, 0.000, 0.779)
Te (0.000, 0.000, 0.221)
In (0.500, 0.500, 0.500)
Tb (0.500, 0.500, 0.000)



[12]
## Tb6InTe5 (PBE-GGA)

Data for an optimized crystal structure of Tb6InTe5.

## Properties
The density of states at the Fermi level comes out at 0.5445 states/eV/atom. The space-group type is C2/m (12).

a b c (Å): 7.600 7.613 7.596
angles (deg): 59.92 80.45 70.66
Sites, in units of the cell vectors:
Tb (0.246, 0.240, 0.000)
Tb (0.243, 0.920, 0.676)
Tb (0.754, 0.760, 0.000)
Tb (0.243, 0.596, 0.324)
Tb (0.757, 0.080, 0.324)
Tb (0.757, 0.404, 0.676)
Te (0.500, 0.171, 0.658)
Te (0.500, 0.829, 0.342)
Te (0.500, 0.500, 0.000)
Te (0.000, 0.665, 0.669)
Te (0.000, 0.335, 0.331)
In (0.000, 0.000, 0.000)



For each record above, in turn, the calculated ΔE_f (raw) values are -0.957 -1.044 -0.738 -0.963 -0.785 -0.834 -0.607 -0.842 -1.102 -0.804 -0.805 -1.193 eV per atom.
For each record above, in turn, the calculated calculated total energy values are -17.5 -29.2 -81.9 -66.3 -25.7 -84.8 -30.3 -42.0 -93.0 -66.3 -16.9 -60.5 eV for the cell shown.